Record 1
TlOs2Br | Alexandria via LeMat-Bulk | PBE-GGA | relaxed; polymorph energy (0 for the lowest one) = 449 meV/atom; SG = No. 35; formation energy from raw total energies = 3.96 eV/f.u.
1.0
2.9735 -0.0099 0.0000
-1.5464 2.5398 0.0000
0.0000 0.0000 10.7033
Br Os Tl
1 2 1
Direct
0.5000 0.5000 0.8027 Br
0.0000 0.0000 0.0168 Os
0.5000 0.5000 0.2119 Os
0.0000 0.0000 0.4685 Tl

Record 2
Ac2Ga3Os | Alexandria via LeMat-Bulk | PBE-GGA | relaxed; formation energy from the elements = -0.388 eV per atom; polymorph energy (0 for the lowest one) = 10 meV/atom; SG = No. 69
1.0
5.9566 0.3183 -1.9265
-1.2160 5.8398 -1.9265
-0.2666 -0.3463 8.8826
Ga Os Ac
6 2 4
Direct
0.8254 0.8254 0.6509 Ga
0.3409 0.8312 0.1721 Ga
0.6591 0.1688 0.8279 Ga
0.8312 0.3409 0.1721 Ga
0.1746 0.1746 0.3491 Ga
0.1688 0.6591 0.8279 Ga
0.3379 0.3379 0.6759 Os
0.6621 0.6621 0.3241 Os
0.2623 0.2623 0.0000 Ac
0.7500 0.2500 0.5000 Ac
0.2500 0.7500 0.5000 Ac
0.7377 0.7377 0.0000 Ac

Record 3
RbTl | Alexandria via LeMat-Bulk | PBE-GGA | relaxed; formation energy from the elements = 0.195 eV per atom; polymorph energy (0 for the lowest one) = 254 meV/atom; SG = No. 225
1.0
7.5519 0.0000 0.0000
0.0000 7.5519 0.0000
0.0000 0.0000 7.5519
Tl Rb
4 4
Direct
0.0000 0.5000 0.0000 Tl
0.5000 0.0000 0.0000 Tl
0.5000 0.5000 0.5000 Tl
0.0000 0.0000 0.5000 Tl
0.0000 0.0000 0.0000 Rb
0.5000 0.5000 0.0000 Rb
0.0000 0.5000 0.5000 Rb
0.5000 0.0000 0.5000 Rb

Record 4
RbZnHgAu | Alexandria via LeMat-Bulk | PBE-GGA | relaxed; formation energy from the elements = -0.192 eV per atom; SG = No. 160
1.0
4.6835 0.0000 0.0000
2.3418 4.0561 0.0000
2.3418 1.3520 6.3902
Au Hg Zn Rb
1 1 1 1
Direct
0.2849 0.2849 0.1454 Au
0.0130 0.0130 0.9609 Hg
0.6135 0.6135 0.1596 Zn
0.8145 0.8145 0.5565 Rb

Record 5
RuRhAu2 | Alexandria via LeMat-Bulk | PBE-GGA | relaxed; formation energy from the elements = 0.792 eV per atom; polymorph energy (0 for the lowest one) = 643 meV/atom; SG = No. 122
1.0
-3.3387 -4.3006 4.8979
2.2206 -5.9244 -3.6881
1.6828 -5.1843 2.0701
Au Rh Ru
4 2 2
Direct
0.6235 0.1250 0.2500 Au
0.8750 0.8735 0.7500 Au
0.1265 0.6250 0.2500 Au
0.3750 0.3765 0.7500 Au
0.7500 0.2500 0.5000 Rh
0.0000 0.0000 0.0000 Rh
0.2500 0.7500 0.5000 Ru
0.5000 0.5000 0.0000 Ru

Record 6
Ba7Br6 | Alexandria via LeMat-Bulk | PBE-GGA | relaxed; SG = No. 166; formation energy from raw total energies = -14.27 eV/f.u.
1.0
-8.4955 -9.5848 5.3478
-9.4670 -9.8842 -2.3068
-3.4266 -13.4157 0.9595
Ba Br
7 6
Direct
0.4307 0.9363 0.4307 Ba
0.0637 0.5693 0.5693 Ba
0.4307 0.4307 0.9363 Ba
0.5000 0.5000 0.5000 Ba
0.5693 0.5693 0.0637 Ba
0.5693 0.0637 0.5693 Ba
0.9363 0.4307 0.4307 Ba
0.2039 0.2039 0.2039 Br
0.7961 0.7961 0.7961 Br
0.0644 0.0644 0.0644 Br
0.6636 0.6636 0.6636 Br
0.9356 0.9356 0.9356 Br
0.3364 0.3364 0.3364 Br

Record 7
Rb3Cd4Hg | Alexandria via LeMat-Bulk | PBE-GGA | relaxed; formation energy from the elements = -0.075 eV per atom; SG = No. 44
1.0
5.7797 0.0000 -2.7531
-1.8585 6.5839 -3.9016
0.1914 -0.0074 7.8450
Cd Hg Rb
4 1 3
Direct
0.7562 0.4469 0.5123 Cd
0.4386 0.6938 0.3876 Cd
0.7562 0.0654 0.5123 Cd
0.9491 0.6938 0.3876 Cd
0.9781 0.4781 0.9562 Hg
0.4360 0.6802 0.8720 Rb
0.4360 0.1918 0.8720 Rb
0.0989 0.0989 0.1979 Rb

Record 8
Pu2Hg3 | Alexandria via LeMat-Bulk | PBE-GGA | relaxed; formation energy from the elements = -0.109 eV per atom; polymorph energy (0 for the lowest one) = 0 meV/atom; SG = No. 139
1.0
3.2286 0.0000 -0.4287
-0.0569 3.2281 -0.4287
-0.0622 -0.0633 11.9029
Pu Hg
2 3
Direct
0.8993 0.8993 0.7985 Pu
0.1007 0.1007 0.2015 Pu
0.7009 0.7009 0.4019 Hg
0.5000 0.5000 0.0000 Hg
0.2991 0.2991 0.5981 Hg